# 1
A plane-wave DFT calculation with PBE was carried out for a relaxed structure of YSc2Cd.

Calculated values
**Formation energy from the elements**: 0.150 eV/atom
**D(E_F)**: 7.97 states/eV per cell
**Total moment**: 0.00 μB per cell
**E**: -4.860 eV per atom

Cell: 8.2461 8.2461 6.6193 Å, 51.47 51.47 90.00°
Last column: nearest neighbours and their distance in Å.
Atoms (fractional coordinates):
Y (0.2500, 0.7500, 0.5000)  2 Cd 3.13, 4 Sc 3.24
Sc (0.0879, 0.6250, 0.2500)  2 Cd 2.82
Sc (0.8750, 0.9121, 0.7500)  2 Cd 2.82
Sc (0.3750, 0.3379, 0.7500)  2 Cd 2.82
Y (0.5000, 0.5000, 0.0000)  2 Cd 3.13, 4 Sc 3.24
Cd (0.0000, 0.0000, 0.0000)  4 Sc 2.82, 2 Y 3.13
Sc (0.6621, 0.1250, 0.2500)  2 Cd 2.82
Cd (0.7500, 0.2500, 0.5000)  4 Sc 2.82, 2 Y 3.13

---

# 2
A plane-wave DFT calculation with PBE was carried out for a relaxed structure of YSc2Cd.

Calculated values
**Formation energy from the elements**: -0.012 eV/atom
**D(E_F)**: 5.95 states/eV per cell
**Total moment**: 0.01 μB per cell
**E**: -5.022 eV per atom

Cell: 5.5581 5.5581 3.4538 Å, 90.00 90.00 106.52°
Last column: nearest neighbours and their distance in Å.
Atoms (fractional coordinates):
Sc (0.0000, 0.0000, 0.0000)  4 Cd 3.27, 4 Y 3.27, 4 Sc 3.32-3.45
Y (0.5000, 0.0000, 0.5000)  8 Sc 3.27, 2 Cd 3.32, 2 Y 3.45
Cd (0.0000, 0.5000, 0.5000)  8 Sc 3.27, 2 Y 3.32, 2 Cd 3.45
Sc (0.5000, 0.5000, 0.0000)  4 Y 3.27, 4 Cd 3.27, 4 Sc 3.32-3.45

---

# 3
A plane-wave DFT calculation with PBE was carried out for a relaxed structure of YSc3Cd.

Calculated values
**Formation energy from the elements**: 0.431 eV/atom
**D(E_F)**: 4.85 states/eV per cell
**Relative energy among the computed polymorphs**: 2.198 eV per formula unit
**Total moment**: 0.00 μB per cell
**E**: -4.844 eV per atom

Cell: 5.3282 5.3282 5.3282 Å, 90.00 90.00 90.00°
Last column: nearest neighbours and their distance in Å.
Atoms (fractional coordinates):
Cd (0.0000, 0.0000, 0.0000)  6 Sc 2.66
Y (0.5000, 0.5000, 0.5000)  12 Sc 3.77
Sc (0.0000, 0.0000, 0.5000)  2 Cd 2.66
Sc (0.5000, 0.0000, 0.0000)  2 Cd 2.66
Sc (0.0000, 0.5000, 0.0000)  2 Cd 2.66

---

# 4
A plane-wave DFT calculation with PBE was carried out for a relaxed structure of YScCd5.

Calculated values
**Formation energy from the elements**: -0.094 eV/atom
**D(E_F)**: 4.94 states/eV per cell
**Total moment**: 0.00 μB per cell
**E**: -2.576 eV per atom

Cell: 4.9896 4.9896 6.9216 Å, 90.00 90.00 90.00°
Last column: nearest neighbours and their distance in Å.
Atoms (fractional coordinates):
Sc (0.5000, 0.5000, 0.0000)  8 Cd 2.93
Cd (0.0000, 0.5000, 0.7790)  2 Sc 2.93, 3 Cd 3.06-3.15, 2 Y 3.15
Cd (0.5000, 0.0000, 0.7790)  2 Sc 2.93, 3 Cd 3.06-3.15, 2 Y 3.15
Y (0.0000, 0.0000, 0.5000)  12 Cd 3.15-3.53
Cd (0.0000, 0.5000, 0.2210)  2 Sc 2.93, 3 Cd 3.06-3.15, 2 Y 3.15
Cd (0.5000, 0.5000, 0.5000)  8 Cd 3.15, 2 Sc 3.46, 4 Y 3.53
Cd (0.5000, 0.0000, 0.2210)  2 Sc 2.93, 3 Cd 3.06-3.15, 2 Y 3.15

---

# 5
A plane-wave DFT calculation with PBE was carried out for a relaxed structure of Y5ScCd4.

Calculated values
**Formation energy from the elements**: -0.263 eV/atom
**D(E_F)**: 12.18 states/eV per cell
**Total moment**: 0.00 μB per cell
**E**: -4.494 eV per atom

Cell: 3.6935 3.6935 19.7141 Å, 90.00 90.00 90.00°
Last column: nearest neighbours and their distance in Å.
Atoms (fractional coordinates):
Cd (0.0000, 0.0000, 0.7933)  8 Y 3.26
Y (0.5000, 0.5000, 0.5000)  8 Cd 3.24
Y (0.5000, 0.5000, 0.6940)  8 Cd 3.23-3.26
Y (0.5000, 0.5000, 0.8920)  4 Cd 3.26, 4 Sc 3.37
Sc (0.0000, 0.0000, 0.0000)  8 Y 3.37, 4 Sc 3.69
Y (0.5000, 0.5000, 0.3060)  8 Cd 3.23-3.26
Y (0.5000, 0.5000, 0.1080)  4 Cd 3.26, 4 Sc 3.37
Cd (0.0000, 0.0000, 0.4028)  8 Y 3.23-3.24
Cd (0.0000, 0.0000, 0.2067)  8 Y 3.26
Cd (0.0000, 0.0000, 0.5972)  8 Y 3.23-3.24

---

# 6
A plane-wave DFT calculation with PBE was carried out for a relaxed structure of Y4ScCd.

Calculated values
**Formation energy from the elements**: -0.081 eV/atom
**D(E_F)**: 9.78 states/eV per cell
**Relative energy among the computed polymorphs**: 0.000 eV per formula unit
**Total moment**: 0.00 μB per cell
**E**: -5.598 eV per atom

Cell: 3.5641 3.5641 13.7804 Å, 90.00 90.00 90.00°
Last column: nearest neighbours and their distance in Å.
Atoms (fractional coordinates):
Y (0.5000, 0.5000, 0.1651)  4 Sc 3.39-3.40, 8 Y 3.56-3.58
Y (0.0000, 0.0000, 0.3499)  4 Cd 3.26, 8 Y 3.56-3.58
Cd (0.5000, 0.5000, 0.5000)  8 Y 3.26, 4 Cd 3.56
Y (0.0000, 0.0000, 0.6501)  4 Cd 3.26, 8 Y 3.56-3.58
Y (0.5000, 0.5000, 0.8349)  4 Sc 3.39-3.40, 8 Y 3.56-3.58
Sc (0.0000, 0.0000, 0.0000)  8 Y 3.39-3.40, 4 Sc 3.56